No. 1
{"formula": "K4Mn3InCl12", "functional": "PBE", "state": "optimized geometry", "e_form_raw_ev_per_atom": -1.3949, "sg": "Im-3m", "volume_a3_per_atom": 27.23, "cell": [[8.910, 0.000, 0.000], [-2.970, 8.401, 0.000], [-2.970, -4.200, 7.275]], "species": ["K", "K", "K", "K", "Cl", "Cl", "Cl", "Cl", "Cl", "Cl", "Cl", "Cl", "Cl", "Cl", "Cl", "Cl", "Mn", "Mn", "Mn", "In"], "fractional_positions": [[0.500, 0.500, 0.500], [0.000, 0.500, 0.000], [0.500, 0.000, 0.000], [0.000, 0.000, 0.500], [0.250, 0.750, 0.500], [0.500, 0.750, 0.250], [0.263, 0.263, 0.000], [0.750, 0.500, 0.250], [0.000, 0.263, 0.263], [0.737, 0.737, 0.000], [0.500, 0.250, 0.750], [0.263, 0.000, 0.263], [0.000, 0.737, 0.737], [0.750, 0.250, 0.500], [0.737, 0.000, 0.737], [0.250, 0.500, 0.750], [0.000, 0.500, 0.500], [0.500, 0.000, 0.500], [0.500, 0.500, 0.000], [0.000, 0.000, 0.000]]}

No. 2
{"formula": "KMnIn2Cl6", "functional": "PBE", "state": "optimized geometry", "e_form_raw_ev_per_atom": -1.1170, "sg": "P2_1/c", "volume_a3_per_atom": 30.01, "cell": [[7.116, 0.000, 0.238], [0.000, 8.263, 0.000], [0.411, 0.000, 10.221]], "species": ["In", "In", "In", "In", "Cl", "Cl", "Cl", "Cl", "Cl", "Cl", "Cl", "Cl", "Cl", "Cl", "Cl", "Cl", "K", "K", "Mn", "Mn"], "fractional_positions": [[0.475, 0.450, 0.220], [0.525, 0.550, 0.780], [0.975, 0.050, 0.720], [0.025, 0.950, 0.280], [0.386, 0.921, 0.710], [0.886, 0.579, 0.210], [0.114, 0.421, 0.790], [0.864, 0.729, 0.914], [0.136, 0.271, 0.086], [0.682, 0.337, 0.978], [0.636, 0.229, 0.586], [0.614, 0.079, 0.290], [0.182, 0.163, 0.478], [0.318, 0.663, 0.022], [0.364, 0.771, 0.414], [0.818, 0.837, 0.522], [0.500, 0.000, 0.000], [0.000, 0.500, 0.500], [0.500, 0.000, 0.500], [0.000, 0.500, 0.000]]}

No. 3
{"formula": "KInN2Cl", "functional": "PBE", "state": "optimized geometry", "e_form_raw_ev_per_atom": 0.6737, "sg": "P4/mmm", "volume_a3_per_atom": 28.79, "cell": [[4.287, 0.000, 0.000], [0.000, 7.830, 0.000], [0.000, 0.000, 4.287]], "species": ["Cl", "K", "N", "N", "In"], "fractional_positions": [[0.500, 0.500, 0.500], [0.000, 0.500, 0.000], [0.500, 0.000, 0.000], [0.000, 0.000, 0.500], [0.000, 0.000, 0.000]]}

No. 4
{"formula": "KNa2InCl6", "functional": "PBE", "state": "optimized geometry", "e_form_raw_ev_per_atom": -1.5625, "sg": "R3", "volume_a3_per_atom": 28.34, "cell": [[-5.352, 3.949, -2.552], [-6.706, -1.393, 1.962], [-3.404, 4.903, 4.781]], "species": ["Cl", "Cl", "Cl", "Cl", "Cl", "Cl", "Na", "Na", "K", "In"], "fractional_positions": [[0.707, 0.147, 0.770], [0.148, 0.376, 0.770], [0.376, 0.707, 0.770], [0.957, 0.565, 0.233], [0.245, 0.957, 0.233], [0.565, 0.245, 0.233], [0.522, 0.522, 0.435], [0.008, 0.008, 0.976], [0.809, 0.809, 0.573], [0.326, 0.326, 0.021]]}

No. 5
{"formula": "K2NaIn3Cl6", "functional": "PBE", "state": "optimized geometry", "e_form_raw_ev_per_atom": -1.3403, "sg": "C2/m", "volume_a3_per_atom": 31.64, "cell": [[4.440, 0.000, 0.000], [0.000, 8.988, 0.276], [-2.220, -2.636, 9.433]], "species": ["Cl", "Cl", "Cl", "Cl", "Cl", "Cl", "K", "K", "In", "In", "In", "Na"], "fractional_positions": [[0.005, 0.774, 0.010], [0.333, 0.418, 0.666], [0.995, 0.226, 0.990], [0.646, 0.080, 0.291], [0.667, 0.582, 0.334], [0.354, 0.920, 0.709], [0.164, 0.332, 0.328], [0.836, 0.668, 0.672], [0.837, 0.153, 0.674], [0.163, 0.847, 0.326], [0.500, 0.500, 0.000], [0.500, 0.000, 0.000]]}

No. 6
{"formula": "KNa2InCl4", "functional": "PBE", "state": "optimized geometry", "e_form_raw_ev_per_atom": -1.5736, "sg": "P2/m", "volume_a3_per_atom": 27.76, "cell": [[4.236, 0.000, 0.000], [0.000, 7.537, -0.225], [0.000, 2.579, 6.878]], "species": ["Cl", "Cl", "Cl", "Cl", "In", "Na", "Na", "K"], "fractional_positions": [[0.000, 0.217, 0.264], [0.000, 0.783, 0.736], [0.500, 0.779, 0.242], [0.500, 0.221, 0.758], [0.500, 0.500, 0.000], [0.500, 0.000, 0.500], [0.000, 0.000, 0.000], [0.000, 0.500, 0.500]]}

No. 7
{"formula": "KNaInCl3", "functional": "PBE", "state": "optimized geometry", "e_form_raw_ev_per_atom": -1.4745, "sg": "P2_1/m", "volume_a3_per_atom": 34.09, "cell": [[4.315, 0.000, 0.000], [0.000, 9.269, 1.467], [0.000, -2.008, 9.911]], "species": ["Cl", "Cl", "Cl", "Cl", "Cl", "Cl", "In", "In", "K", "K", "Na", "Na"], "fractional_positions": [[0.750, 0.380, 0.107], [0.250, 0.124, 0.854], [0.750, 0.162, 0.434], [0.750, 0.876, 0.146], [0.250, 0.620, 0.893], [0.250, 0.838, 0.566], [0.750, 0.378, 0.833], [0.250, 0.622, 0.167], [0.250, 0.142, 0.175], [0.750, 0.858, 0.825], [0.750, 0.868, 0.412], [0.250, 0.132, 0.588]]}

No. 8
{"formula": "K3Na2InCl6", "functional": "PBE", "state": "optimized geometry", "e_form_raw_ev_per_atom": -1.6903, "sg": "C2/m", "volume_a3_per_atom": 29.54, "cell": [[-1.749, 3.669, 1.603], [-7.843, -2.358, -3.161], [0.864, -5.633, 7.879]], "species": ["In", "Na", "Na", "Cl", "Cl", "Cl", "Cl", "Cl", "Cl", "K", "K", "K"], "fractional_positions": [[0.500, 0.000, 0.000], [0.172, 0.342, 0.343], [0.828, 0.658, 0.657], [0.989, 0.738, 0.978], [0.330, 0.894, 0.660], [0.327, 0.428, 0.655], [0.011, 0.262, 0.022], [0.673, 0.572, 0.345], [0.670, 0.106, 0.340], [0.163, 0.834, 0.327], [0.500, 0.500, 0.000], [0.837, 0.166, 0.673]]}